{"formula": "VPtRh2", "functional": "PBE", "state": "optimized geometry", "e_form_ev_per_atom": -0.135, "magnetic_moment_mub_per_fu": 0.000, "dos_ef_per_ev_cell": 5.399, "space_group": "No. 225", "lattice_angstrom": [[0.000, 3.076, 3.076], [3.076, 0.000, 3.076], [3.076, 3.076, 0.000]], "species": ["V", "Rh", "Rh", "Pt"], "fractional_positions": [[0.000, 0.000, 0.000], [0.750, 0.750, 0.750], [0.250, 0.250, 0.250], [0.500, 0.500, 0.500]]}

{"formula": "V2PtRh4", "functional": "PBE", "state": "optimized geometry", "e_form_ev_per_atom": -0.131, "magnetic_moment_mub_per_fu": 0.000, "dos_ef_per_ev_cell": 14.949, "space_group": "No. 55", "lattice_angstrom": [[-0.210, -8.466, -2.686], [4.682, 0.992, -3.492], [2.421, -1.000, 2.961]], "species": ["Pt", "V", "Rh", "V", "Rh", "Pt", "Rh", "Rh", "Rh", "Rh", "Rh", "V", "V", "Rh"], "fractional_positions": [[0.500, 0.500, 0.000], [0.957, 0.305, 0.500], [0.693, 0.416, 0.500], [0.543, 0.805, 0.500], [0.307, 0.584, 0.500], [0.000, 0.000, 0.000], [0.807, 0.916, 0.500], [0.639, 0.102, 0.000], [0.193, 0.084, 0.500], [0.361, 0.898, 0.000], [0.139, 0.398, 0.000], [0.457, 0.195, 0.500], [0.043, 0.695, 0.500], [0.861, 0.602, 0.000]]}

{"formula": "V2Pt2Rh", "functional": "PBE", "state": "optimized geometry", "e_form_ev_per_atom": 0.044, "magnetic_moment_mub_per_fu": 3.690, "dos_ef_per_ev_cell": 12.926, "space_group": "No. 194", "lattice_angstrom": [[4.250, 0.000, 0.000], [-2.125, 3.680, 0.000], [0.000, 0.000, 10.468]], "species": ["Pt", "V", "Pt", "Rh", "V", "Pt", "V", "V", "Pt", "Rh"], "fractional_positions": [[0.000, 0.000, 0.500], [0.333, 0.667, 0.617], [0.667, 0.333, 0.750], [0.000, 0.000, 0.250], [0.667, 0.333, 0.117], [0.000, 0.000, 0.000], [0.667, 0.333, 0.383], [0.333, 0.667, 0.883], [0.333, 0.667, 0.250], [0.000, 0.000, 0.750]]}

{"formula": "VPt6Rh2", "functional": "PBE", "state": "optimized geometry", "e_form_ev_per_atom": -0.246, "magnetic_moment_mub_per_fu": 0.000, "dos_ef_per_ev_cell": 11.627, "space_group": "No. 12", "lattice_angstrom": [[3.892, 0.000, 0.000], [1.946, 4.393, -0.056], [1.946, 1.863, 7.875]], "species": ["Pt", "Pt", "Pt", "Pt", "Pt", "Pt", "V", "Rh", "Rh"], "fractional_positions": [[0.334, 0.280, 0.053], [0.666, 0.720, 0.947], [0.005, 0.169, 0.822], [0.995, 0.831, 0.178], [0.331, 0.943, 0.394], [0.669, 0.057, 0.606], [0.000, 0.500, 0.500], [0.657, 0.400, 0.287], [0.343, 0.600, 0.713]]}